Record 1
## LaSc2Rh (GGA-PBE)

Data for crystalline LaSc2Rh at its relaxed geometry.

abc: 4.980 4.980 3.500
angles: 90.00 90.00 90.00
Fractional coordinates of all 4 atoms:
1 La 0.500 0.000 0.500
2 Rh 0.000 0.500 0.500
3 Sc 0.000 0.000 0.000
4 Sc 0.500 0.500 0.000

DFT formation energy in eV/atom: -0.092

---

Record 2
## NbGaPd2 (GGA-PBE)

Data for crystalline NbGaPd2 at its relaxed geometry.

abc: 2.885 2.885 7.518
angles: 90.00 90.00 90.00
Fractional coordinates of all 4 atoms:
1 Nb 0.500 0.500 0.500
2 Ga 0.500 0.500 0.000
3 Pd 0.000 0.000 0.773
4 Pd 0.000 0.000 0.227

DFT formation energy in eV/atom: -0.460

---

Record 3
## Nd3Ho3Er8 (GGA-PBE)

Data for crystalline Nd3Ho3Er8 at its relaxed geometry.

abc: 5.618 9.634 9.634
angles: 102.00 73.01 73.01
Fractional coordinates of all 14 atoms:
1 Nd 0.500 0.000 0.000
2 Nd 0.000 0.816 0.184
3 Nd 0.000 0.184 0.816
4 Ho 0.500 0.500 0.500
5 Ho 0.796 0.204 0.204
6 Ho 0.204 0.796 0.796
7 Er 0.661 0.119 0.559
8 Er 0.339 0.881 0.441
9 Er 0.661 0.559 0.119
10 Er 0.339 0.441 0.881
11 Er 0.842 0.761 0.556
12 Er 0.158 0.239 0.444
13 Er 0.842 0.556 0.761
14 Er 0.158 0.444 0.239

DFT formation energy in eV/atom: 0.110

---

Record 4
## PuIn2Cu (GGA-PBE)

Data for crystalline PuIn2Cu at its relaxed geometry.

abc: 3.231 3.231 8.255
angles: 90.00 90.00 90.00
Last column: magnetic moment on the atom in μB.
Fractional coordinates of all 4 atoms:
1 In 0.000 0.000 0.795  -0.03
2 In 0.000 0.000 0.205  -0.03
3 Cu 0.500 0.500 0.000  0.00
4 Pu 0.500 0.500 0.500  5.62

Polymorph energy (0 for the lowest one) in eV/atom: 0.039
DFT formation energy in eV/atom: -0.086

---

Record 5
## KHfTe2H (GGA-PBE)

Data for crystalline KHfTe2H at its relaxed geometry.

abc: 4.097 7.543 9.807
angles: 107.86 90.00 90.00
Fractional coordinates of all 10 atoms:
1 K 0.250 0.650 0.304
2 K 0.750 0.350 0.696
3 Hf 0.250 0.838 0.828
4 Hf 0.750 0.162 0.172
5 Te 0.750 0.833 0.626
6 Te 0.750 0.763 0.019
7 Te 0.250 0.167 0.374
8 Te 0.250 0.237 0.981
9 H 0.250 0.574 0.769
10 H 0.750 0.426 0.231

Uncorrected energy in Ha/atom: -0.17983

---

Record 6
## Co2Tc2Au (GGA-PBE)

Data for crystalline Co2Tc2Au at its relaxed geometry.

abc: 7.298 7.298 2.636
angles: 90.00 90.00 90.00
Fractional coordinates of all 10 atoms:
1 Co 0.166 0.666 0.500
2 Co 0.666 0.834 0.500
3 Co 0.834 0.334 0.500
4 Co 0.334 0.166 0.500
5 Au 0.000 0.000 0.000
6 Au 0.500 0.500 0.000
7 Tc 0.378 0.878 0.000
8 Tc 0.878 0.622 0.000
9 Tc 0.622 0.122 0.000
10 Tc 0.122 0.378 0.000

Polymorph energy (0 for the lowest one) in eV/atom: 0.086
DFT formation energy in eV/atom: 0.288

---

Record 7
## Pa4GaC2 (GGA-PBE)

Data for crystalline Pa4GaC2 at its relaxed geometry.

abc: 3.540 6.325 12.820
angles: 90.00 90.00 106.25
Fractional coordinates of all 14 atoms:
1 Pa 0.772 0.544 0.108
2 Pa 0.772 0.544 0.392
3 Pa 0.228 0.456 0.892
4 Pa 0.228 0.456 0.608
5 Pa 0.900 0.799 0.750
6 Pa 0.100 0.201 0.250
7 Pa 0.500 0.000 0.000
8 Pa 0.500 0.000 0.500
9 Ga 0.590 0.179 0.750
10 Ga 0.410 0.821 0.250
11 C 0.136 0.271 0.443
12 C 0.864 0.729 0.943
13 C 0.136 0.271 0.057
14 C 0.864 0.729 0.557

DFT formation energy in eV/atom: -0.251

---

Record 8
## Nd4Ni2Cl3 (GGA-PBE)

Data for crystalline Nd4Ni2Cl3 at its relaxed geometry.

abc: 4.011 4.011 18.060
angles: 90.11 89.89 119.99
Fractional coordinates of all 9 atoms:
1 Nd 0.335 0.665 0.878
2 Nd 0.998 0.002 0.300
3 Nd 0.002 0.998 0.700
4 Nd 0.665 0.335 0.122
5 Ni 0.669 0.331 0.794
6 Ni 0.331 0.669 0.206
7 Cl 0.664 0.336 0.398
8 Cl 0.000 0.000 0.000
9 Cl 0.336 0.664 0.602

ΔE_f (raw) in eV per formula unit: -10.11

---

Record 9
## Tb8In2Sb (GGA-PBE)

Data for crystalline Tb8In2Sb at its relaxed geometry.

abc: 5.647 8.544 8.544
angles: 118.50 101.86 101.86
Fractional coordinates of all 11 atoms:
1 Tb 0.882 0.908 0.683
2 Tb 0.882 0.683 0.908
3 Tb 0.296 0.601 0.601
4 Tb 0.500 0.782 0.218
5 Tb 0.500 0.218 0.782
6 Tb 0.704 0.399 0.399
7 Tb 0.118 0.317 0.092
8 Tb 0.118 0.092 0.317
9 In 0.000 0.306 0.694
10 In 0.000 0.694 0.306
11 Sb 0.500 0.000 0.000

ΔE_f (raw) in eV per formula unit: -2.50

---

Record 10
## Sm4In12Ni (GGA-PBE)

Data for crystalline Sm4In12Ni at its relaxed geometry.

abc: 8.176 8.176 8.176
angles: 109.47 109.47 109.47
Fractional coordinates of all 17 atoms:
1 Sm 0.000 0.000 0.500
2 Sm 0.500 0.000 0.000
3 Sm 0.500 0.500 0.500
4 Sm 0.000 0.500 0.000
5 In 0.000 0.276 0.276
6 In 0.000 0.724 0.724
7 In 0.724 0.724 0.000
8 In 0.276 0.276 0.000
9 In 0.276 0.000 0.276
10 In 0.724 0.000 0.724
11 In 0.500 0.250 0.750
12 In 0.500 0.750 0.250
13 In 0.750 0.250 0.500
14 In 0.250 0.750 0.500
15 In 0.750 0.500 0.250
16 In 0.250 0.500 0.750
17 Ni 0.000 0.000 0.000

DFT formation energy in eV/atom: -0.422

---

Record 11
## LiYMo2 (GGA-PBE)

Data for crystalline LiYMo2 at its relaxed geometry.

abc: 3.825 3.825 10.648
angles: 79.65 79.65 90.00
Fractional coordinates of all 8 atoms:
1 Y 0.000 0.000 0.000
2 Y 0.750 0.250 0.500
3 Mo 0.125 0.125 0.250
4 Mo 0.625 0.625 0.250
5 Mo 0.375 0.875 0.750
6 Mo 0.875 0.375 0.750
7 Li 0.500 0.500 0.000
8 Li 0.250 0.750 0.500

Polymorph energy (0 for the lowest one) in eV/atom: 0.413
DFT formation energy in eV/atom: 0.674

---

Record 12
## CaLa2BiRh (GGA-PBE)

Data for crystalline CaLa2BiRh at its relaxed geometry.

abc: 5.431 5.431 5.594
angles: 90.00 90.00 90.00
Fractional coordinates of all 5 atoms:
1 Ca 0.000 0.000 0.500
2 Rh 0.000 0.000 0.000
3 Bi 0.500 0.500 0.500
4 La 0.000 0.500 0.000
5 La 0.500 0.000 0.000

DFT formation energy in eV/atom: -0.637